Entry 1:
Material: ErThNi2As2
Method: DFT, PBE
State: relaxed

Geometry as CIF:
```
data_ErThNi2As2
_cell_length_a 4.0681
_cell_length_b 4.0681
_cell_length_c 7.9062
_cell_angle_alpha 90.00
_cell_angle_beta 90.00
_cell_angle_gamma 120.00
_space_group_name_H-M_alt 'P -3 m 1'
_space_group_IT_number 164
_space_group_name_Hall '-P 3 2"'
loop_
_atom_site_label
_atom_site_type_symbol
_atom_site_fract_x
_atom_site_fract_y
_atom_site_fract_z
Er1 Er 0.0000 0.0000 0.0000
Th1 Th 0.0000 0.0000 0.5000
Ni1 Ni 0.3333 0.6667 0.2607
As1 As 0.3333 0.6667 0.7692
```

Output
Raw total energy   -0.240 hartree per atom

=====

Entry 2:
Material: Sr3LiPd
Method: DFT, PBE
State: relaxed

Geometry as CIF:
```
data_Sr3LiPd
_cell_length_a 5.051
_cell_length_b 5.051
_cell_length_c 9.325
_cell_angle_alpha 90.00
_cell_angle_beta 90.00
_cell_angle_gamma 90.00
_space_group_name_H-M_alt 'P 4 m m'
_space_group_IT_number 99
loop_
_space_group_symop_operation_xyz
'x,y,z'
'-y,x,z'
'-x,-y,z'
'y,-x,z'
'-x,y,z'
'y,x,z'
'x,-y,z'
'-y,-x,z'
loop_
_atom_site_label
_atom_site_type_symbol
_atom_site_fract_x
_atom_site_fract_y
_atom_site_fract_z
Sr1 Sr 0.000 0.000 0.000
Sr2 Sr 0.000 0.500 0.667
Li1 Li 0.000 0.000 0.385
Pd1 Pd 0.500 0.500 0.862
```

Output
Relative energy among the computed polymorphs   377 meV/atom
Raw total energy   -0.086 hartree per atom

=====

Entry 3:
Material: Si2Sb2C
Method: DFT, PBE
State: relaxed

Geometry as CIF:
```
data_Si2Sb2C
_cell_length_a 5.682
_cell_length_b 5.682
_cell_length_c 5.686
_cell_angle_alpha 90.00
_cell_angle_beta 90.00
_cell_angle_gamma 90.00
_space_group_name_H-M_alt 'P 4/m b m'
_space_group_IT_number 127
_space_group_name_Hall '-P 4 2ab'
loop_
_atom_site_label
_atom_site_type_symbol
_atom_site_fract_x
_atom_site_fract_y
_atom_site_fract_z
Si1 Si 0.171 0.329 0.000
Sb1 Sb 0.207 0.293 0.500
C1 C 0.000 0.000 0.000
```

Output
Relative energy among the computed polymorphs   5 meV/atom
Raw total energy   -0.179 hartree per atom
Formation energy from raw total energies   0.7947 eV per atom